Compound: La2HfScH
Source: Alexandria via LeMat-Bulk
Functional: PBE
Structure: relaxed

```
La2HfScH
1.0
5.101 0.000 0.000
0.000 5.101 0.000
0.000 0.000 4.568
La Hf Sc H
2 1 1 1
Cartesian
0.000 2.550 0.000 La
2.550 0.000 0.000 La
0.000 0.000 2.284 Hf
2.550 2.550 2.284 Sc
0.000 0.000 0.000 H
```

Values from the calculation:
relative energy among the computed polymorphs	20.7	meV per atom
energy	-5.8946	eV per atom
magnetization	0.0	μB/cell